Model 1:
Density functional theory data (PBE-GGA) for a relaxed Pr5Nd2Sm3 crystal.

Output
As for the magnetization: 0.0 μB/f.u. The density of states at the Fermi level comes out at 34.370 states/eV per cell. Its volume is 371 Å³/f.u.

a b c (Å): 11.2362 11.2362 11.2362
angles (deg): 107.17 82.99 145.77
Last column: nearest neighbours and their distance in Å.
Atoms (fractional coordinates):
Pr  0.1581  0.5979  0.7560  3 Sm 3.12-3.39
Pr  0.2500  0.2500  0.0000  4 Pr 3.31-3.36, 4 Sm 3.42
Pr  0.2500  0.5022  0.2522  3 Sm 3.31-3.67, 3 Pr 3.31-3.36
Pr  0.2500  0.9978  0.7478  3 Sm 3.31-3.67, 3 Pr 3.31-3.36
Pr  0.3419  0.0979  0.4398  3 Sm 3.12-3.39
Pr  0.6581  0.9021  0.5602  3 Sm 3.12-3.39
Pr  0.7500  0.0022  0.2522  3 Sm 3.31-3.67, 3 Pr 3.31-3.36
Pr  0.7500  0.4978  0.7478  3 Sm 3.31-3.67, 3 Pr 3.31-3.36
Pr  0.7500  0.7500  0.0000  4 Pr 3.31-3.36, 4 Sm 3.42
Pr  0.8419  0.4021  0.2440  3 Sm 3.12-3.39
Nd  0.2325  0.8456  0.0782  4 Pr 3.53-3.86, 4 Sm 3.60-3.70
Nd  0.2675  0.3456  0.6131  4 Pr 3.53-3.86, 4 Sm 3.60-3.70
Nd  0.7325  0.6544  0.3869  4 Pr 3.53-3.86, 4 Sm 3.60-3.70
Nd  0.7675  0.1544  0.9218  4 Pr 3.53-3.86, 4 Sm 3.60-3.70
Sm  0.1564  0.1061  0.2625  3 Pr 3.12-3.42
Sm  0.2500  0.7500  0.5000  6 Pr 3.31-3.39, 2 Sm 3.31
Sm  0.3436  0.6061  0.9497  3 Pr 3.12-3.42
Sm  0.6564  0.3939  0.0503  3 Pr 3.12-3.42
Sm  0.7500  0.2500  0.5000  6 Pr 3.31-3.39, 2 Sm 3.31
Sm  0.8436  0.8939  0.7375  3 Pr 3.12-3.42


Model 2:
Density functional theory data (PBE-GGA) for a relaxed Pr5Nd2Sm3 crystal.

Output
As for the magnetization: 0.0 μB/f.u. The density of states at the Fermi level comes out at 35.493 states/eV per cell. Its volume is 357 Å³/f.u.

a b c (Å): 9.3526 9.3526 10.1890
angles (deg): 108.77 108.77 107.30
Last column: nearest neighbours and their distance in Å.
Atoms (fractional coordinates):
Pr  0.0238  0.9762  0.7500  1 Pr 3.12, 2 Sm 3.43
Pr  0.1194  0.3660  0.7371  3 Sm 3.51-3.84, 3 Pr 3.54-3.55, 2 Nd 3.78-3.88
Pr  0.2306  0.7694  0.7500  1 Pr 3.12, 2 Nd 3.43
Pr  0.2710  0.7290  0.2500  3 Sm 3.16-3.41
Pr  0.3660  0.1194  0.2371  3 Sm 3.51-3.84, 3 Pr 3.54-3.55, 2 Nd 3.78-3.88
Pr  0.6340  0.8806  0.7629  3 Sm 3.51-3.84, 3 Pr 3.54-3.55, 2 Nd 3.78-3.88
Pr  0.7290  0.2710  0.7500  3 Sm 3.16-3.41
Pr  0.7694  0.2306  0.2500  1 Pr 3.12, 2 Nd 3.43
Pr  0.8806  0.6340  0.2629  3 Sm 3.51-3.84, 3 Pr 3.54-3.55, 2 Nd 3.78-3.88
Pr  0.9762  0.0238  0.2500  1 Pr 3.12, 2 Sm 3.43
Nd  0.2266  0.4734  0.4427  3 Sm 3.32-3.55, 4 Pr 3.43-3.64
Nd  0.4734  0.2266  0.9427  3 Sm 3.32-3.55, 4 Pr 3.43-3.64
Nd  0.5266  0.7734  0.0573  3 Sm 3.32-3.55, 4 Pr 3.43-3.64
Nd  0.7734  0.5266  0.5573  3 Sm 3.32-3.55, 4 Pr 3.43-3.64
Sm  0.0322  0.2815  0.0545  1 Nd 3.32, 5 Pr 3.41-3.65, 1 Sm 3.57
Sm  0.2815  0.0322  0.5545  1 Nd 3.32, 5 Pr 3.41-3.65, 1 Sm 3.57
Sm  0.4809  0.5191  0.2500  3 Pr 3.16-3.51, 2 Nd 3.40
Sm  0.5191  0.4809  0.7500  3 Pr 3.16-3.51, 2 Nd 3.40
Sm  0.7185  0.9678  0.4455  1 Nd 3.32, 5 Pr 3.41-3.65, 1 Sm 3.57
Sm  0.9678  0.7185  0.9455  1 Nd 3.32, 5 Pr 3.41-3.65, 1 Sm 3.57


Energies in kJ/mol of atoms, measured from the most stable structure: model 1 13.9; model 2 0.0.